Here is a geometry-optimized YUPN2 structure from Alexandria via LeMat-Bulk. Energies are from GGA-PBE.

extended XYZ file:
```
5
Lattice="-2.134 2.895 -1.142 -0.607 -1.745 -3.290 -3.375 -3.182 4.474" Properties=species:S:1:pos:R:3 pbc="T T T"
P -1.484 0.512 -2.162
N -2.584 -2.126 -0.559
N -3.348 0.194 0.514
U -1.474 -0.810 0.701
Y -4.712 -1.261 -0.626
```

Values from the calculation:
The total DFT energy (no corrections) comes out at -9.25 eV/atom. For the uncorrected formation energy, the calculation gives -6.436 eV per formula unit.